Entry 1:
Material: K2Sb2Te
Method: DFT, PBE
State: relaxed

CIF file:
```
data_K2Sb2Te
_symmetry_space_group_name_H-M 'P 4/m b m'
_symmetry_Int_Tables_number 127
_symmetry_space_group_name_Hall '-P 4 2ab'
_cell_length_a 8.166
_cell_length_b 8.166
_cell_length_c 5.470
_cell_angle_alpha 90.00
_cell_angle_beta 90.00
_cell_angle_gamma 90.00
loop_
_atom_site_label
_atom_site_fract_x
_atom_site_fract_y
_atom_site_fract_z
K1 0.176 0.324 0.000
Sb1 0.126 0.626 0.500
Te1 0.000 0.000 0.500
```

Values from the calculation:
Polymorph energy (0 for the lowest one), meV per atom: 0.0


Entry 2:
Material: KSb2Te2
Method: DFT, PBE
State: relaxed

CIF file:
```
data_KSb2Te2
_symmetry_space_group_name_H-M 'I 4/m m m'
_symmetry_Int_Tables_number 139
_symmetry_space_group_name_Hall '-I 4 2'
_cell_length_a 6.087
_cell_length_b 6.087
_cell_length_c 9.791
_cell_angle_alpha 90.00
_cell_angle_beta 90.00
_cell_angle_gamma 90.00
loop_
_atom_site_label
_atom_site_fract_x
_atom_site_fract_y
_atom_site_fract_z
K1 0.000 0.000 0.000
Sb1 0.000 0.000 0.346
Te1 0.000 0.500 0.250
```

Values from the calculation:
Polymorph energy (0 for the lowest one), meV per atom: 0.0


Entry 3:
Material: KSb2Te4
Method: DFT, PBE
State: relaxed

CIF file:
```
data_KSb2Te4
_symmetry_space_group_name_H-M 'C m c m'
_symmetry_Int_Tables_number 63
_symmetry_space_group_name_Hall '-C 2c 2'
_cell_length_a 4.308
_cell_length_b 13.580
_cell_length_c 17.124
_cell_angle_alpha 90.00
_cell_angle_beta 90.00
_cell_angle_gamma 90.00
loop_
_atom_site_label
_atom_site_fract_x
_atom_site_fract_y
_atom_site_fract_z
K1 0.000 0.108 0.250
Sb1 0.000 0.356 0.075
Te1 0.000 0.000 0.000
Te2 0.000 0.296 0.596
Te3 0.000 0.399 0.250
```


Entry 4:
Material: KSb2Te2
Method: DFT, PBE
State: relaxed

CIF file:
```
data_KSb2Te2
_symmetry_space_group_name_H-M 'P 4/m b m'
_symmetry_Int_Tables_number 127
_symmetry_space_group_name_Hall '-P 4 2ab'
_cell_length_a 9.194
_cell_length_b 9.194
_cell_length_c 4.050
_cell_angle_alpha 90.00
_cell_angle_beta 90.00
_cell_angle_gamma 90.00
loop_
_atom_site_label
_atom_site_fract_x
_atom_site_fract_y
_atom_site_fract_z
K1 0.000 0.000 0.000
Sb1 0.130 0.370 0.000
Te1 0.210 0.710 0.500
```

Values from the calculation:
Polymorph energy (0 for the lowest one), meV per atom: 17.6


Entry 5:
Material: K3ThSb2Te6
Method: DFT, PBE
State: relaxed

CIF file:
```
data_K3ThSb2Te6
_symmetry_space_group_name_H-M 'C 1 2/m 1'
_symmetry_Int_Tables_number 12
_cell_length_a 7.979
_cell_length_b 14.096
_cell_length_c 8.507
_cell_angle_alpha 90.00
_cell_angle_beta 108.33
_cell_angle_gamma 90.00
loop_
_symmetry_equiv_pos_as_xyz
'x,y,z'
'-x,-y,-z'
'-x,y,-z'
'x,-y,z'
'x+1/2,y+1/2,z'
'-x+1/2,-y+1/2,-z'
'-x+1/2,y+1/2,-z'
'x+1/2,-y+1/2,z'
loop_
_atom_site_label
_atom_site_fract_x
_atom_site_fract_y
_atom_site_fract_z
K1 0.000 0.000 0.000
K2 0.000 0.330 0.000
Th1 0.000 0.500 0.500
Sb1 0.000 0.164 0.500
Te1 0.236 0.000 0.708
Te2 0.237 0.334 0.705
```


Entry 6:
Material: KTiSb2Te
Method: DFT, PBE
State: relaxed

CIF file:
```
data_KTiSb2Te
_symmetry_space_group_name_H-M 'P 4/m m m'
_symmetry_Int_Tables_number 123
_symmetry_space_group_name_Hall '-P 4 2'
_cell_length_a 5.644
_cell_length_b 5.644
_cell_length_c 5.775
_cell_angle_alpha 90.00
_cell_angle_beta 90.00
_cell_angle_gamma 90.00
loop_
_atom_site_label
_atom_site_fract_x
_atom_site_fract_y
_atom_site_fract_z
K1 0.000 0.000 0.000
Ti1 0.500 0.500 0.500
Sb1 0.000 0.500 0.000
Te1 0.000 0.000 0.500
```

Values from the calculation:
Polymorph energy (0 for the lowest one), meV per atom: 1758.2


Entry 7:
Material: KTiSb2Te
Method: DFT, PBE
State: relaxed

CIF file:
```
data_KTiSb2Te
_symmetry_space_group_name_H-M 'P 4/m m m'
_symmetry_Int_Tables_number 123
_symmetry_space_group_name_Hall '-P 4 2'
_cell_length_a 5.354
_cell_length_b 5.354
_cell_length_c 5.535
_cell_angle_alpha 90.00
_cell_angle_beta 90.00
_cell_angle_gamma 90.00
loop_
_atom_site_label
_atom_site_fract_x
_atom_site_fract_y
_atom_site_fract_z
K1 0.000 0.000 0.000
Ti1 0.500 0.500 0.500
Sb1 0.000 0.500 0.500
Te1 0.500 0.500 0.000
```

Values from the calculation:
Polymorph energy (0 for the lowest one), meV per atom: 0.0


Entry 8:
Material: KTlSbTe3
Method: DFT, PBE
State: relaxed

CIF file:
```
data_KTlSbTe3
_symmetry_space_group_name_H-M 'P 1 21/m 1'
_symmetry_Int_Tables_number 11
_cell_length_a 9.005
_cell_length_b 4.603
_cell_length_c 11.258
_cell_angle_alpha 90.00
_cell_angle_beta 106.44
_cell_angle_gamma 90.00
loop_
_symmetry_equiv_pos_as_xyz
'x,y,z'
'-x,-y,-z'
'-x,y+1/2,-z'
'x,-y+1/2,z'
loop_
_atom_site_label
_atom_site_fract_x
_atom_site_fract_y
_atom_site_fract_z
K1 0.247 0.250 0.280
Tl1 0.084 0.250 0.625
Sb1 0.314 0.750 0.886
Te1 0.088 0.250 0.904
Te2 0.272 0.750 0.553
Te3 0.461 0.750 0.148
```


Entry 9:
Material: K2TmSbTe4
Method: DFT, PBE
State: relaxed

CIF file:
```
data_K2TmSbTe4
_symmetry_space_group_name_H-M 'P 1 2/m 1'
_symmetry_Int_Tables_number 10
_cell_length_a 7.815
_cell_length_b 4.482
_cell_length_c 8.619
_cell_angle_alpha 90.00
_cell_angle_beta 107.35
_cell_angle_gamma 90.00
loop_
_symmetry_equiv_pos_as_xyz
'x,y,z'
'-x,-y,-z'
'-x,y,-z'
'x,-y,z'
loop_
_atom_site_label
_atom_site_fract_x
_atom_site_fract_y
_atom_site_fract_z
K1 0.000 0.000 0.000
K2 0.500 0.500 0.000
Tm1 0.000 0.500 0.500
Sb1 0.500 0.000 0.500
Te1 0.233 0.000 0.704
Te2 0.262 0.500 0.295
```


Entry 10:
Material: K3Tm2SbTe6
Method: DFT, PBE
State: relaxed

CIF file:
```
data_K3Tm2SbTe6
_symmetry_space_group_name_H-M 'C 1 2/m 1'
_symmetry_Int_Tables_number 12
_cell_length_a 7.770
_cell_length_b 13.460
_cell_length_c 8.617
_cell_angle_alpha 90.00
_cell_angle_beta 107.49
_cell_angle_gamma 90.00
loop_
_symmetry_equiv_pos_as_xyz
'x,y,z'
'-x,-y,-z'
'-x,y,-z'
'x,-y,z'
'x+1/2,y+1/2,z'
'-x+1/2,-y+1/2,-z'
'-x+1/2,y+1/2,-z'
'x+1/2,-y+1/2,z'
loop_
_atom_site_label
_atom_site_fract_x
_atom_site_fract_y
_atom_site_fract_z
K1 0.000 0.000 0.000
K2 0.000 0.335 0.000
Tm1 0.000 0.167 0.500
Sb1 0.000 0.500 0.500
Te1 0.233 0.000 0.705
Te2 0.236 0.332 0.705
```


Entry 11:
Material: K3Tm3SbTe8
Method: DFT, PBE
State: relaxed

CIF file:
```
data_K3Tm3SbTe8
_symmetry_space_group_name_H-M 'C 1 2/m 1'
_symmetry_Int_Tables_number 12
_cell_length_a 15.226
_cell_length_b 8.770
_cell_length_c 9.835
_cell_angle_alpha 90.00
_cell_angle_beta 121.15
_cell_angle_gamma 90.00
loop_
_symmetry_equiv_pos_as_xyz
'x,y,z'
'-x,-y,-z'
'-x,y,-z'
'x,-y,z'
'x+1/2,y+1/2,z'
'-x+1/2,-y+1/2,-z'
'-x+1/2,y+1/2,-z'
'x+1/2,-y+1/2,z'
loop_
_atom_site_label
_atom_site_fract_x
_atom_site_fract_y
_atom_site_fract_z
K1 0.000 0.000 0.000
K2 0.250 0.250 0.000
Tm1 0.000 0.500 0.500
Tm2 0.250 0.250 0.500
Sb1 0.000 0.000 0.500
Te1 0.016 0.251 0.297
Te2 0.235 0.000 0.704
Te3 0.236 0.500 0.706
```


Entry 12:
Material: K2U2SbTe2
Method: DFT, PBE
State: relaxed

CIF file:
```
data_K2U2SbTe2
_symmetry_space_group_name_H-M 'I 4/m m m'
_symmetry_Int_Tables_number 139
_symmetry_space_group_name_Hall '-I 4 2'
_cell_length_a 5.781
_cell_length_b 5.781
_cell_length_c 17.488
_cell_angle_alpha 90.00
_cell_angle_beta 90.00
_cell_angle_gamma 90.00
loop_
_atom_site_label
_atom_site_fract_x
_atom_site_fract_y
_atom_site_fract_z
K1 0.000 0.000 0.193
U1 0.000 0.500 0.000
Sb1 0.000 0.000 0.000
Te1 0.000 0.000 0.393
```


Values of E_form (uncorrected), in order: -350, -224, -257, -206, -737, 1467, -291, -352, -949, -1090, -1085, -247, all in meV per atom.
Values of volume, in order: 364.7, 362.7, 1001.9, 342.4, 908.3, 184.0, 158.7, 447.6, 288.2, 859.6, 1123.9, 584.4, all in Å³/cell.